# 1
# MgTl2Pd2

A geometry-optimized MgTl2Pd2 structure (PBE, Alexandria).

Cell: 7.8216 7.8216 3.3476 Å, 90.00 90.00 90.00°
Sites, in units of the cell vectors:
1 Mg 0.0000 0.0000 0.0000
2 Mg 0.5000 0.5000 0.0000
3 Tl 0.1416 0.3584 0.0000
4 Tl 0.3584 0.8584 0.0000
5 Tl 0.6416 0.1416 0.0000
6 Tl 0.8584 0.6416 0.0000
7 Pd 0.1593 0.6593 0.5000
8 Pd 0.3407 0.1593 0.5000
9 Pd 0.6593 0.8407 0.5000
10 Pd 0.8407 0.3407 0.5000

Computed properties:
- raw total energy (eV per atom) = -3.453
- total magnetization (μB/f.u.) = 0.00
- DOS(E_F) (states/eV per cell) = 3.13
- formation enthalpy at 0 K (eV/atom) = -0.1100

---

# 2
# MgTl2Pd2

A geometry-optimized MgTl2Pd2 structure (PBE, Alexandria).

Cell: 7.3067 7.3067 3.8100 Å, 90.00 90.00 90.00°
Sites, in units of the cell vectors:
1 Mg 0.0000 0.0000 0.0000
2 Mg 0.5000 0.5000 0.0000
3 Tl 0.1606 0.3394 0.5000
4 Tl 0.3394 0.8394 0.5000
5 Tl 0.6606 0.1606 0.5000
6 Tl 0.8394 0.6606 0.5000
7 Pd 0.1421 0.6421 0.0000
8 Pd 0.3579 0.1421 0.0000
9 Pd 0.6421 0.8579 0.0000
10 Pd 0.8579 0.3579 0.0000

Computed properties:
- raw total energy (eV per atom) = -3.576
- total magnetization (μB/f.u.) = 0.00
- DOS(E_F) (states/eV per cell) = 3.21
- formation enthalpy at 0 K (eV/atom) = -0.2333

---

# 3
# MgTlPd2

A geometry-optimized MgTlPd2 structure (PBE, Alexandria).

Cell: 4.4233 4.4233 3.6156 Å, 90.00 90.00 90.00°
Sites, in units of the cell vectors:
1 Mg 0.0000 0.0000 0.0000
2 Tl 0.5000 0.5000 0.0000
3 Pd 0.0000 0.5000 0.5000
4 Pd 0.5000 0.0000 0.5000

Computed properties:
- raw total energy (eV per atom) = -4.022
- total magnetization (μB/f.u.) = 0.00
- DOS(E_F) (states/eV per cell) = 1.72
- formation enthalpy at 0 K (eV/atom) = -0.4358

---

# 4
# Mg3TlPd6

A geometry-optimized Mg3TlPd6 structure (PBE, Alexandria).

Cell: 8.4278 4.2574 9.2672 Å, 90.00 97.34 90.00°
Sites, in units of the cell vectors:
1 Mg 0.0506 0.2500 0.3958
2 Mg 0.1519 0.7500 0.1885
3 Mg 0.2532 0.2500 0.9774
4 Mg 0.7468 0.7500 0.0226
5 Mg 0.8481 0.2500 0.8115
6 Mg 0.9494 0.7500 0.6042
7 Tl 0.4386 0.2500 0.6153
8 Tl 0.5614 0.7500 0.3847
9 Pd 0.0371 0.7500 0.8974
10 Pd 0.1254 0.2500 0.6920
11 Pd 0.2354 0.7500 0.4885
12 Pd 0.3386 0.2500 0.2842
13 Pd 0.3391 0.7500 0.8000
14 Pd 0.4413 0.7500 0.0914
15 Pd 0.5587 0.2500 0.9086
16 Pd 0.6609 0.2500 0.2000
17 Pd 0.6614 0.7500 0.7158
18 Pd 0.7646 0.2500 0.5115
19 Pd 0.8746 0.7500 0.3080
20 Pd 0.9629 0.2500 0.1026

Computed properties:
- raw total energy (eV per atom) = -4.371
- total magnetization (μB/f.u.) = 0.00
- DOS(E_F) (states/eV per cell) = 5.63
- formation enthalpy at 0 K (eV/atom) = -0.5406

---

# 5
# Mg4TlPd3

A geometry-optimized Mg4TlPd3 structure (PBE, Alexandria).

Cell: 3.5874 4.4597 8.8842 Å, 90.00 90.00 90.00°
Sites, in units of the cell vectors:
1 Mg 0.0000 0.0000 0.0000
2 Mg 0.0000 0.0000 0.5000
3 Mg 0.0000 0.5000 0.2288
4 Mg 0.0000 0.5000 0.7712
5 Tl 0.5000 0.5000 0.5000
6 Pd 0.5000 0.0000 0.2450
7 Pd 0.5000 0.0000 0.7550
8 Pd 0.5000 0.5000 0.0000

Computed properties:
- raw total energy (eV per atom) = -3.547
- total magnetization (μB/f.u.) = 0.00
- DOS(E_F) (states/eV per cell) = 2.67
- formation enthalpy at 0 K (eV/atom) = -0.5069

---

# 6
# MgTl2Pd2

A geometry-optimized MgTl2Pd2 structure (PBE, Alexandria).

Cell: 7.7729 7.7729 7.7729 Å, 150.60 150.60 42.06°
Sites, in units of the cell vectors:
1 Mg 0.0000 0.0000 0.0000
2 Tl 0.3872 0.3872 0.0000
3 Tl 0.6128 0.6128 0.0000
4 Pd 0.2500 0.7500 0.5000
5 Pd 0.7500 0.2500 0.5000

Computed properties:
- raw total energy (eV per atom) = -3.349
- total magnetization (μB/f.u.) = 0.00
- DOS(E_F) (states/eV per cell) = 2.49
- formation enthalpy at 0 K (eV/atom) = -0.0067

---

# 7
# MgTl3Pd6

A geometry-optimized MgTl3Pd6 structure (PBE, Alexandria).

Cell: 7.8540 4.7933 10.2320 Å, 90.00 112.23 90.00°
Sites, in units of the cell vectors:
1 Mg 0.1349 0.2500 0.0850
2 Mg 0.8651 0.7500 0.9150
3 Tl 0.0683 0.7500 0.7137
4 Tl 0.3009 0.7500 0.5150
5 Tl 0.3448 0.2500 0.8800
6 Tl 0.6552 0.7500 0.1200
7 Tl 0.6991 0.2500 0.4850
8 Tl 0.9317 0.2500 0.2863
9 Pd 0.0669 0.7500 0.2042
10 Pd 0.1244 0.2500 0.5784
11 Pd 0.2571 0.7500 0.0115
12 Pd 0.3109 0.2500 0.3700
13 Pd 0.4658 0.7500 0.3107
14 Pd 0.4923 0.7500 0.8221
15 Pd 0.5077 0.2500 0.1779
16 Pd 0.5342 0.2500 0.6893
17 Pd 0.6891 0.7500 0.6300
18 Pd 0.7429 0.2500 0.9885
19 Pd 0.8756 0.7500 0.4216
20 Pd 0.9331 0.2500 0.7958

Computed properties:
- raw total energy (eV per atom) = -4.252
- total magnetization (μB/f.u.) = 0.00
- DOS(E_F) (states/eV per cell) = 7.09
- formation enthalpy at 0 K (eV/atom) = -0.2673

---

# 8
# MgTlPd5

A geometry-optimized MgTlPd5 structure (PBE, Alexandria).

Cell: 6.3411 6.3411 6.3411 Å, 108.52 91.24 131.34°
Sites, in units of the cell vectors:
1 Mg 0.0000 0.0000 0.0000
2 Tl 0.8067 0.3067 0.5000
3 Pd 0.3078 0.8078 0.5000
4 Pd 0.3878 0.6233 0.7645
5 Pd 0.4887 0.3074 0.8187
6 Pd 0.4887 0.6701 0.1813
7 Pd 0.8588 0.6233 0.2355

Computed properties:
- raw total energy (eV per atom) = -3.932
- total magnetization (μB/f.u.) = 0.00
- DOS(E_F) (states/eV per cell) = 7.00
- formation enthalpy at 0 K (eV/atom) = 0.3433

---

# 9
# Mg2TlPd

A geometry-optimized Mg2TlPd structure (PBE, Alexandria).

Cell: 4.5744 4.5744 3.7204 Å, 90.00 90.00 90.00°
Sites, in units of the cell vectors:
1 Mg 0.0000 0.5000 0.0000
2 Mg 0.5000 0.0000 0.0000
3 Tl 0.0000 0.0000 0.5000
4 Pd 0.5000 0.5000 0.5000

Computed properties:
- raw total energy (eV per atom) = -2.996
- total magnetization (μB/f.u.) = 0.00
- DOS(E_F) (states/eV per cell) = 1.33
- formation enthalpy at 0 K (eV/atom) = -0.3085

---

# 10
# Mg2TlPd

A geometry-optimized Mg2TlPd structure (PBE, Alexandria).

Cell: 6.3653 6.3653 6.3653 Å, 101.12 101.12 127.90°
Sites, in units of the cell vectors:
1 Mg 0.0605 0.6250 0.9355
2 Mg 0.3750 0.3105 0.4355
3 Mg 0.6895 0.1250 0.0645
4 Mg 0.8750 0.9395 0.5645
5 Tl 0.2500 0.7500 0.5000
6 Tl 0.5000 0.5000 0.0000
7 Pd 0.0000 0.0000 0.0000
8 Pd 0.7500 0.2500 0.5000

Computed properties:
- raw total energy (eV per atom) = -2.809
- total magnetization (μB/f.u.) = 0.00
- DOS(E_F) (states/eV per cell) = 3.08
- formation enthalpy at 0 K (eV/atom) = -0.1215

---

# 11
# TmMgTlPd

A geometry-optimized TmMgTlPd structure (PBE, Alexandria).

Cell: 4.9414 4.9414 4.9414 Å, 60.00 60.00 60.00°
Sites, in units of the cell vectors:
1 Tm 0.0000 0.0000 0.0000
2 Mg 0.5000 0.5000 0.5000
3 Tl 0.2500 0.2500 0.2500
4 Pd 0.7500 0.7500 0.7500

Computed properties:
- raw total energy (eV per atom) = -3.899
- total magnetization (μB/f.u.) = 0.00
- DOS(E_F) (states/eV per cell) = 1.12
- formation enthalpy at 0 K (eV/atom) = -0.4929

---

# 12
# MgTl2VPd

A geometry-optimized MgTl2VPd structure (PBE, Alexandria).

Cell: 5.1912 5.1912 4.8512 Å, 90.00 90.00 90.00°
Sites, in units of the cell vectors:
1 Mg 0.0000 0.0000 0.0000
2 Tl 0.0000 0.5000 0.5000
3 Tl 0.5000 0.0000 0.5000
4 V 0.5000 0.5000 0.0000
5 Pd 0.0000 0.0000 0.5000

Computed properties:
- raw total energy (eV per atom) = -3.359
- total magnetization (μB/f.u.) = 0.21
- DOS(E_F) (states/eV per cell) = 5.19
- formation enthalpy at 0 K (eV/atom) = 0.7691

---

Question: Among the records above, which one has the highest raw total energy?
Answer: number 10

---

Question: Among the records above, which one has the lowest DOS(E_F)?
Answer: TmMgTlPd

---

Repeat the sixth record exactly.
# MgTl2Pd2

A geometry-optimized MgTl2Pd2 structure (PBE, Alexandria).

Cell: 7.7729 7.7729 7.7729 Å, 150.60 150.60 42.06°
Sites, in units of the cell vectors:
1 Mg 0.0000 0.0000 0.0000
2 Tl 0.3872 0.3872 0.0000
3 Tl 0.6128 0.6128 0.0000
4 Pd 0.2500 0.7500 0.5000
5 Pd 0.7500 0.2500 0.5000

Computed properties:
- raw total energy (eV per atom) = -3.349
- total magnetization (μB/f.u.) = 0.00
- DOS(E_F) (states/eV per cell) = 2.49
- formation enthalpy at 0 K (eV/atom) = -0.0067